1.
Material: Cs2LiAs2
Method: DFT, PBEsol
State: optimized geometry

## Properties
As for the crystal system: tetragonal. As for the space group: P4/mbm, No. 127.

a b c (Å): 7.346 7.346 5.824
angles (deg): 90.00 90.00 90.00
Fractional positions:
Cs 0.174 0.326 0.000
Cs 0.326 0.826 0.000
Cs 0.674 0.174 0.000
Cs 0.826 0.674 0.000
Li 0.000 0.000 0.500
Li 0.500 0.500 0.500
As 0.116 0.616 0.500
As 0.384 0.116 0.500
As 0.616 0.884 0.500
As 0.884 0.384 0.500



2.
Material: CsLi2As2
Method: DFT, PBEsol
State: optimized geometry

## Properties
As for the crystal system: tetragonal. As for the space group: P4/mbm, No. 127.

a b c (Å): 8.750 8.750 3.245
angles (deg): 90.00 90.00 90.00
Fractional positions:
Cs 0.000 0.000 0.000
Cs 0.500 0.500 0.000
Li 0.130 0.370 0.500
Li 0.370 0.870 0.500
Li 0.630 0.130 0.500
Li 0.870 0.630 0.500
As 0.112 0.612 0.000
As 0.388 0.112 0.000
As 0.612 0.888 0.000
As 0.888 0.388 0.000



3.
Material: CsLiAs2P
Method: DFT, PBEsol
State: optimized geometry

## Properties
As for the crystal system: tetragonal. As for the space group: P4/mmm, No. 123.

a b c (Å): 5.037 5.037 4.950
angles (deg): 90.00 90.00 90.00
Fractional positions:
Cs 0.000 0.000 0.000
Li 0.500 0.500 0.000
As 0.000 0.500 0.500
As 0.500 0.000 0.500
P 0.500 0.500 0.500



4.
Material: CsMnAs2
Method: DFT, PBEsol
State: optimized geometry

## Properties
As for the crystal system: cubic. As for the space group: Fm-3m, No. 225.

a b c (Å): 5.103 5.103 5.103
angles (deg): 60.00 60.00 60.00
Fractional positions:
Cs 0.000 0.000 0.000
Mn 0.500 0.500 0.500
As 0.250 0.250 0.250
As 0.750 0.750 0.750



Number 1: ΔE_f -1.45 eV/f.u.. Number 2: ΔE_f -1.20 eV/f.u.. Number 3: ΔE_f 0.14 eV/f.u.. Number 4: ΔE_f 2.71 eV/f.u..